Entry from Alexandria: a geometry-optimized Cd12Hg6Pb structure (PBE).

a = 8.4205 Å, b = 8.4205 Å, c = 8.4205 Å
α = 107.39°, β = 107.39°, γ = 107.39°
Fractional positions:
Cd 0.8866 0.5000 0.1134
Cd 0.5000 0.1134 0.8866
Cd 0.1134 0.5000 0.8866
Cd 0.3468 0.1041 0.3468
Cd 0.3468 0.3468 0.1041
Cd 0.6532 0.6532 0.8959
Cd 0.5000 0.8866 0.1134
Cd 0.8959 0.6532 0.6532
Cd 0.1041 0.3468 0.3468
Cd 0.8866 0.1134 0.5000
Cd 0.1134 0.8866 0.5000
Cd 0.6532 0.8959 0.6532
Hg 0.7027 0.3028 0.3028
Hg 0.2973 0.6972 0.6972
Hg 0.3028 0.7027 0.3028
Hg 0.6972 0.6972 0.2973
Hg 0.6972 0.2973 0.6972
Hg 0.3028 0.3028 0.7027
Pb 0.0000 0.0000 0.0000

Values from the calculation:
raw total energy: -0.80 eV per atom
formation energy from the elements: 1.31 eV/f.u.
polymorph energy (0 for the lowest one): 17 meV per atom
density: 9.32 g/cm3
N(E_F): 8.2 states/eV per cell